Entry 1:
VASP calculation (PBE) on a relaxed structure of Fe2IrCl.

a b c (Å): 5.456 5.456 5.986
angles (deg): 62.88 62.88 90.00
Element x y z (fractional)
Ir 0.000 0.000 0.000
Ir 0.750 0.250 0.500
Fe 0.617 0.125 0.250
Fe 0.133 0.625 0.250
Fe 0.375 0.383 0.750
Fe 0.875 0.867 0.750
Cl 0.500 0.500 0.000
Cl 0.250 0.750 0.500

Computed properties:
Space group ... I-42d
Energy relative to the lowest polymorph listed for this composition ... 687 meV per atom
Calculated density ... 8.27 g/cm3

---

Entry 2:
VASP calculation (PBE) on a relaxed structure of MnAgPd5.

a b c (Å): 4.921 4.921 10.421
angles (deg): 90.00 90.00 67.98
Site moments in Bohr magnetons follow the coordinates.
Element x y z (fractional)
Mn 0.000 0.000 0.000  4.00
Mn 0.000 0.000 0.500  4.00
Ag 0.369 0.631 0.750  0.02
Ag 0.631 0.369 0.250  0.02
Pd 0.403 0.133 0.886  0.15
Pd 0.597 0.867 0.386  0.15
Pd 0.133 0.403 0.386  0.15
Pd 0.888 0.112 0.750  0.11
Pd 0.133 0.403 0.114  0.15
Pd 0.867 0.597 0.886  0.15
Pd 0.112 0.888 0.250  0.11
Pd 0.867 0.597 0.614  0.15
Pd 0.403 0.133 0.614  0.15
Pd 0.597 0.867 0.114  0.15

Computed properties:
Space group ... Cmcm
Calculated density ... 9.86 g/cm3
Energy of formation ... 0.02 eV per atom

---

Entry 3:
VASP calculation (PBE) on a relaxed structure of LaReW2.

a b c (Å): 5.275 5.275 5.449
angles (deg): 74.80 74.80 35.05
Element x y z (fractional)
La 0.250 0.250 0.250
Re 0.750 0.750 0.750
W 0.035 0.035 0.907
W 0.465 0.465 0.593

Computed properties:
Space group ... C2/m
Energy relative to the lowest polymorph listed for this composition ... 194 meV per atom
Calculated density ... 13.74 g/cm3
Energy of formation ... 0.63 eV per atom